1.
# SrSm2Ag, optimized geometry, DFT PBE
# Energy in eV per formula unit: -13.1
# Energy relative to the lowest polymorph listed for this composition in meV per atom: 220
# Formation energy in eV/f.u.: 0.867
# M_tot in Bohr magnetons per cell: 0.0
data_SrSm2Ag
_symmetry_space_group_name_H-M 'R -3 m'
_symmetry_Int_Tables_number 166
_symmetry_space_group_name_Hall '-R 3 2"'
_cell_length_a 3.6953
_cell_length_b 3.6953
_cell_length_c 35.2790
_cell_angle_alpha 90.00
_cell_angle_beta 90.00
_cell_angle_gamma 120.00
loop_
_atom_site_label
_atom_site_fract_x
_atom_site_fract_y
_atom_site_fract_z
Sr1 0.0000 0.0000 0.0000
Sm1 0.0000 0.0000 0.1020
Ag1 0.0000 0.0000 0.5000

---

2.
# Sr2SmAg, optimized geometry, DFT PBE
# Energy in eV per formula unit: -10.0
# Energy relative to the lowest polymorph listed for this composition in meV per atom: 237
# Formation energy in eV/f.u.: 0.926
# M_tot in Bohr magnetons per cell: 1.2
data_Sr2SmAg
_symmetry_space_group_name_H-M 'R -3 m'
_symmetry_Int_Tables_number 166
_symmetry_space_group_name_Hall '-R 3 2"'
_cell_length_a 3.8761
_cell_length_b 3.8761
_cell_length_c 36.0727
_cell_angle_alpha 90.00
_cell_angle_beta 90.00
_cell_angle_gamma 120.00
loop_
_atom_site_label
_atom_site_fract_x
_atom_site_fract_y
_atom_site_fract_z
Sr1 0.0000 0.0000 0.1020
Sm1 0.0000 0.0000 0.0000
Ag1 0.0000 0.0000 0.5000

---

- What is the M_tot in the second record?
  1.2 Bohr magnetons per cell

---

- Which of these has the lowest energy?
  SrSm2Ag

---

- Among the records above, which one has the lowest energy?
  SrSm2Ag